Record 1
Here is a relaxed ZrNbS6 crystal from Alexandria via LeMat-Bulk. Energies are from GGA-PBE.

```
ZrNbS6
1.0
6.096 0.000 0.000
2.924 5.478 0.000
2.922 0.579 5.452
Zr Nb S
1 1 6
direct
0.000 0.000 0.000
0.500 0.500 0.500
0.050 0.739 0.739
0.370 0.621 0.138
0.376 0.133 0.627
0.624 0.867 0.373
0.630 0.379 0.862
0.950 0.261 0.261
```

Calculated values
The calculated volume is 182.1 Å³/cell. For the raw formation energy, the calculation gives -15.84 kcal/mol of atoms. The total moment is 0.00 μB/atom. The total energy is -6.110 eV per atom. Its space group is P-1 (2).



Record 2
Here is a relaxed ZrNb3S crystal from Alexandria via LeMat-Bulk. Energies are from GGA-PBE.

```
ZrNb3S
1.0
4.945 0.000 0.000
0.000 4.945 0.000
0.000 0.000 4.945
Zr Nb S
1 3 1
direct
0.000 0.000 0.000
0.000 0.000 0.500
0.000 0.500 0.000
0.500 0.000 0.000
0.500 0.500 0.500
```

Calculated values
The calculated volume is 121.0 Å³/cell. For the raw formation energy, the calculation gives 41.67 kcal/mol of atoms. Its energy above the most stable polymorph in this dataset is 1888 meV/atom. The total moment is 0.00 μB/atom. The total energy is -6.770 eV per atom. Its space group is Pm-3m (221).



Record 3
Here is a relaxed Zr2NbS4 crystal from Alexandria via LeMat-Bulk. Energies are from GGA-PBE.

```
Zr2NbS4
1.0
14.114 0.000 0.000
0.000 3.412 0.000
-2.744 0.000 5.662
Zr Nb S
4 2 8
direct
0.245 0.000 0.257
0.255 0.500 0.743
0.745 0.500 0.257
0.755 0.000 0.743
0.000 0.500 0.500
0.500 0.000 0.500
0.118 0.500 0.300
0.121 0.000 0.795
0.379 0.500 0.205
0.382 0.000 0.700
0.618 0.000 0.300
0.621 0.500 0.795
0.879 0.000 0.205
0.882 0.500 0.700
```

Calculated values
The calculated volume is 272.6 Å³/cell. For the raw formation energy, the calculation gives -31.03 kcal/mol of atoms. The total moment is 0.09 μB/atom. The total energy is -7.585 eV per atom. Its space group is C2/m (12).



Record 4
Here is a relaxed Zr2Nb2S7 crystal from Alexandria via LeMat-Bulk. Energies are from GGA-PBE.

```
Zr2Nb2S7
1.0
-1.737 6.703 4.095
1.737 -6.703 4.095
1.737 6.703 -4.095
Zr Nb S
2 2 7
direct
0.226 0.000 0.226
0.774 0.000 0.774
0.218 0.218 0.000
0.674 0.174 0.500
0.057 0.697 0.360
0.336 0.697 0.640
0.387 0.492 0.895
0.596 0.492 0.105
0.604 0.281 0.323
0.912 0.912 0.000
0.957 0.281 0.677
```

Calculated values
The calculated volume is 190.7 Å³/cell. For the raw formation energy, the calculation gives -25.17 kcal/mol of atoms. The total moment is 0.00 μB/atom. The total energy is -7.103 eV per atom. Its space group is Imm2 (44).



Record 5
Here is a relaxed ZrNb4S8 crystal from Alexandria via LeMat-Bulk. Energies are from GGA-PBE.

```
ZrNb4S8
1.0
3.434 1.983 6.131
-3.434 1.983 6.131
0.000 -3.966 6.131
Zr Nb S
1 4 8
direct
0.000 0.000 0.000
0.000 0.000 0.500
0.000 0.500 0.000
0.500 0.000 0.000
0.500 0.500 0.500
0.249 0.249 0.249
0.254 0.254 0.737
0.254 0.737 0.254
0.263 0.746 0.746
0.737 0.254 0.254
0.746 0.263 0.746
0.746 0.746 0.263
0.751 0.751 0.751
```

Calculated values
The calculated volume is 250.5 Å³/cell. For the raw formation energy, the calculation gives -25.37 kcal/mol of atoms. The total moment is 0.00 μB/atom. The total energy is -7.396 eV per atom. Its space group is R-3m (166).



Record 6
Here is a relaxed Nb3Sb crystal from Alexandria via LeMat-Bulk. Energies are from GGA-PBE.

```
Nb3Sb
1.0
4.218 0.000 0.000
0.000 4.218 0.000
0.000 0.000 4.218
Nb Sb
3 1
direct
0.000 0.000 0.500
0.000 0.500 0.000
0.500 0.000 0.000
0.500 0.500 0.500
```

Calculated values
The calculated volume is 75.1 Å³/cell. For the raw formation energy, the calculation gives -3.75 kcal/mol of atoms. Its energy above the most stable polymorph in this dataset is 140 meV/atom. The total moment is 0.00 μB/atom. The total energy is -8.745 eV per atom. Its space group is Pm-3m (221).



Record 7
Here is a relaxed Nb3Sb crystal from Alexandria via LeMat-Bulk. Energies are from GGA-PBE.

```
Nb3Sb
1.0
4.099 0.000 0.000
0.000 4.099 0.000
0.000 0.000 9.024
Nb Sb
6 2
direct
0.000 0.000 0.000
0.000 0.500 0.250
0.000 0.500 0.750
0.500 0.000 0.250
0.500 0.000 0.750
0.500 0.500 0.500
0.000 0.000 0.500
0.500 0.500 0.000
```

Calculated values
The calculated volume is 151.6 Å³/cell. For the raw formation energy, the calculation gives -1.77 kcal/mol of atoms. Its energy above the most stable polymorph in this dataset is 226 meV/atom. The total moment is 0.00 μB/atom. The total energy is -8.660 eV per atom. Its space group is I4/mmm (139).



Record 8
Here is a relaxed Nb5Sb crystal from Alexandria via LeMat-Bulk. Energies are from GGA-PBE.

```
Nb5Sb
1.0
4.614 0.000 0.000
0.000 13.839 0.000
0.000 0.000 3.505
Nb Sb
10 2
direct
0.000 0.000 0.000
0.000 0.163 0.500
0.000 0.327 0.000
0.000 0.673 0.000
0.000 0.837 0.500
0.500 0.173 0.000
0.500 0.337 0.500
0.500 0.500 0.000
0.500 0.663 0.500
0.500 0.827 0.000
0.000 0.500 0.500
0.500 0.000 0.500
```

Calculated values
The calculated volume is 223.8 Å³/cell. For the raw formation energy, the calculation gives -3.07 kcal/mol of atoms. Its energy above the most stable polymorph in this dataset is 0 meV/atom. The total moment is 0.00 μB/atom. The total energy is -9.212 eV per atom. Its space group is Cmmm (65).



Record 9
Here is a relaxed Nb3Sb crystal from Alexandria via LeMat-Bulk. Energies are from GGA-PBE.

```
Nb3Sb
1.0
5.303 0.000 0.000
0.000 5.303 0.000
0.000 0.000 5.303
Nb Sb
6 2
direct
0.000 0.250 0.500
0.000 0.750 0.500
0.250 0.500 0.000
0.500 0.000 0.250
0.500 0.000 0.750
0.750 0.500 0.000
0.000 0.000 0.000
0.500 0.500 0.500
```

Calculated values
The calculated volume is 149.1 Å³/cell. For the raw formation energy, the calculation gives -6.97 kcal/mol of atoms. Its energy above the most stable polymorph in this dataset is 0 meV/atom. The total moment is 0.00 μB/atom. The total energy is -8.885 eV per atom. Its space group is Pm-3n (223).



Record 10
Here is a relaxed Nb13Sb3 crystal from Alexandria via LeMat-Bulk. Energies are from GGA-PBE.

```
Nb13Sb3
1.0
6.914 0.000 0.000
0.000 4.569 4.824
0.000 -4.569 4.824
Nb Sb
13 3
direct
0.000 0.000 0.000
0.000 0.504 0.996
0.000 0.512 0.512
0.000 0.996 0.504
0.243 0.753 0.753
0.247 0.260 0.752
0.247 0.752 0.260
0.500 0.001 0.509
0.500 0.509 0.001
0.500 0.516 0.516
0.753 0.260 0.752
0.753 0.752 0.260
0.757 0.753 0.753
0.246 0.273 0.273
0.500 0.981 0.981
0.754 0.273 0.273
```

Calculated values
The calculated volume is 304.8 Å³/cell. For the raw formation energy, the calculation gives -1.51 kcal/mol of atoms. The total moment is 0.00 μB/atom. The total energy is -9.020 eV per atom. Its space group is Amm2 (38).



Record 11
Here is a relaxed NbSb4 crystal from Alexandria via LeMat-Bulk. Energies are from GGA-PBE.

```
NbSb4
1.0
5.364 0.000 0.000
0.000 5.364 0.000
0.000 0.000 5.364
Nb Sb
1 4
direct
0.000 0.000 0.000
0.000 0.000 0.500
0.000 0.500 0.000
0.500 0.000 0.000
0.500 0.500 0.500
```

Calculated values
The calculated volume is 154.4 Å³/cell. For the raw formation energy, the calculation gives 11.29 kcal/mol of atoms. The total moment is 0.12 μB/atom. The total energy is -4.822 eV per atom. Its space group is Pm-3m (221).



Record 12
Here is a relaxed NbSb2 crystal from Alexandria via LeMat-Bulk. Energies are from GGA-PBE.

```
NbSb2
1.0
10.347 0.000 0.000
0.000 3.671 0.000
-4.209 0.000 7.285
Nb Sb
4 8
direct
0.152 0.000 0.190
0.348 0.500 0.810
0.652 0.500 0.190
0.848 0.000 0.810
0.095 0.500 0.888
0.149 0.000 0.536
0.351 0.500 0.464
0.405 0.000 0.112
0.595 0.000 0.888
0.649 0.500 0.536
0.851 0.000 0.464
0.905 0.500 0.112
```

Calculated values
The calculated volume is 276.7 Å³/cell. For the raw formation energy, the calculation gives -6.55 kcal/mol of atoms. The total moment is 0.00 μB/atom. The total energy is -6.389 eV per atom. Its space group is C2/m (12).



Question: What is the formula in the first record?
Answer: ZrNbS6



Question: Look up the total moment of the third one.
Answer: 0.09 μB/atom



Question: Which of these has the highest raw formation energy?
Answer: ZrNb3S